Li2CrBO4: optimized geometry, PBE with a Hubbard U.

Cell: 4.6941 2.9542 4.9566 Å, 90.00 105.69 90.00°
Closest atoms and distances in Å follow each position.
Element x y z (fractional)
Li (0.0000, 0.0000, 0.0000)  4 O 2.09
Li (0.5000, 0.5000, 0.0000)  2 O 1.92
Cr (0.0000, 0.5000, 0.5000)  6 O 1.93-2.04
B (0.5000, 0.0000, 0.5000)  2 O 1.46
O (0.2535, 0.5000, 0.2514)  3 Li 1.92-2.09, 1 Cr 1.93, 2 B 2.07
O (0.2913, 0.0000, 0.6718)  1 B 1.46
O (0.7087, 0.0000, 0.3282)  1 B 1.46
O (0.7465, 0.5000, 0.7486)  3 Li 1.92-2.09, 1 Cr 1.93, 2 B 2.07

* space-group type: P2/m (10)
* crystal system: monoclinic
* total energy: -6.494 eV/atom
* total moment: 3.000 μB/f.u.
* D(E_F): 0.00 states/eV per atom